1.
Material: LaHoCu3
Method: DFT, PBE-GGA
State: optimized geometry

Results
- VASP energy (eV/atom) = -4.59
- volume (A^3/atom) = 21.096

Cell and atoms, written as CIF:
```
data_LaHoCu3
_cell_length_a 3.792
_cell_length_b 4.365
_cell_length_c 12.884
_cell_angle_alpha 90.00
_cell_angle_beta 98.46
_cell_angle_gamma 90.00
_symmetry_space_group_name_H-M 'P 1'
_symmetry_Int_Tables_number 1
_symmetry_space_group_name_Hall 'P 1'
loop_
_atom_site_label
_atom_site_fract_x
_atom_site_fract_y
_atom_site_fract_z
_atom_site_occupancy
Cu1 0.324 0.750 0.648 1
Cu2 0.378 0.250 0.755 1
Cu3 0.476 0.250 0.951 1
Cu4 0.524 0.750 0.049 1
Cu5 0.622 0.750 0.245 1
Cu6 0.676 0.250 0.352 1
Ho1 0.206 0.750 0.412 1
Ho2 0.794 0.250 0.588 1
La1 0.926 0.750 0.853 1
La2 0.074 0.250 0.147 1
```


2.
Material: LaHo4Cu4
Method: DFT, PBE-GGA
State: optimized geometry

Results
- VASP energy (eV/atom) = -4.45
- volume (A^3/atom) = 25.574

Cell and atoms, written as CIF:
```
data_LaHo4Cu4
_cell_length_a 5.591
_cell_length_b 9.074
_cell_length_c 9.074
_cell_angle_alpha 90.00
_cell_angle_beta 90.00
_cell_angle_gamma 90.00
_symmetry_space_group_name_H-M 'P 1'
_symmetry_Int_Tables_number 1
_symmetry_space_group_name_Hall 'P 1'
loop_
_atom_site_label
_atom_site_fract_x
_atom_site_fract_y
_atom_site_fract_z
_atom_site_occupancy
Cu1 0.111 0.149 0.284 1
Cu2 0.889 0.716 0.149 1
Cu3 0.889 0.284 0.851 1
Cu4 0.611 0.216 0.649 1
Cu5 0.389 0.351 0.216 1
Cu6 0.389 0.649 0.784 1
Cu7 0.111 0.851 0.716 1
Cu8 0.611 0.784 0.351 1
Ho1 0.400 0.337 0.905 1
Ho2 0.900 0.405 0.163 1
Ho3 0.600 0.905 0.663 1
Ho4 0.900 0.595 0.837 1
Ho5 0.400 0.663 0.095 1
Ho6 0.100 0.163 0.595 1
Ho7 0.100 0.837 0.405 1
Ho8 0.600 0.095 0.337 1
La1 0.000 0.000 0.000 1
La2 0.500 0.500 0.500 1
```


3.
Material: La5HoCu6
Method: DFT, PBE-GGA
State: optimized geometry

Results
- VASP energy (eV/atom) = -4.63
- volume (A^3/atom) = 23.737

Cell and atoms, written as CIF:
```
data_La5HoCu6
_cell_length_a 5.122
_cell_length_b 7.215
_cell_length_c 8.889
_cell_angle_alpha 66.06
_cell_angle_beta 73.22
_cell_angle_gamma 90.01
_symmetry_space_group_name_H-M 'P 1'
_symmetry_Int_Tables_number 1
_symmetry_space_group_name_Hall 'P 1'
loop_
_atom_site_label
_atom_site_fract_x
_atom_site_fract_y
_atom_site_fract_z
_atom_site_occupancy
Cu1 0.839 0.077 0.318 1
Cu2 0.161 0.395 0.682 1
Cu3 0.161 0.923 0.682 1
Cu4 0.500 0.779 0.000 1
Cu5 0.500 0.221 0.000 1
Cu6 0.839 0.605 0.318 1
La1 0.329 0.830 0.340 1
La2 0.334 0.335 0.330 1
La3 0.666 0.665 0.670 1
La4 0.671 0.170 0.660 1
La5 0.000 0.500 0.000 1
Ho1 0.000 0.000 0.000 1
```


4.
Material: LaHo4Cu5
Method: DFT, PBE-GGA
State: optimized geometry

Results
- VASP energy (eV/atom) = -4.61
- volume (A^3/atom) = 21.250

Cell and atoms, written as CIF:
```
data_LaHo4Cu5
_cell_length_a 3.466
_cell_length_b 3.466
_cell_length_c 17.694
_cell_angle_alpha 90.00
_cell_angle_beta 90.00
_cell_angle_gamma 90.00
_symmetry_space_group_name_H-M 'P 1'
_symmetry_Int_Tables_number 1
_symmetry_space_group_name_Hall 'P 1'
loop_
_atom_site_label
_atom_site_fract_x
_atom_site_fract_y
_atom_site_fract_z
_atom_site_occupancy
La1 0.000 0.000 0.000 1
Cu1 0.500 0.500 0.305 1
Cu2 0.500 0.500 0.695 1
Cu3 0.500 0.500 0.115 1
Cu4 0.500 0.500 0.885 1
Cu5 0.500 0.500 0.500 1
Ho1 0.000 0.000 0.793 1
Ho2 0.000 0.000 0.207 1
Ho3 0.000 0.000 0.598 1
Ho4 0.000 0.000 0.402 1
```


5.
Material: LaHo3Cu4
Method: DFT, PBE-GGA
State: optimized geometry

Results
- VASP energy (eV/atom) = -4.60
- volume (A^3/atom) = 21.483

Cell and atoms, written as CIF:
```
data_LaHo3Cu4
_cell_length_a 4.963
_cell_length_b 6.979
_cell_length_c 9.924
_cell_angle_alpha 90.00
_cell_angle_beta 90.00
_cell_angle_gamma 90.00
_symmetry_space_group_name_H-M 'P 1'
_symmetry_Int_Tables_number 1
_symmetry_space_group_name_Hall 'P 1'
loop_
_atom_site_label
_atom_site_fract_x
_atom_site_fract_y
_atom_site_fract_z
_atom_site_occupancy
Ho1 0.000 0.000 0.000 1
Ho2 0.500 0.500 0.250 1
Ho3 0.000 0.000 0.500 1
Ho4 0.500 0.500 0.750 1
Ho5 0.500 0.000 0.250 1
Ho6 0.500 0.000 0.750 1
Cu1 0.000 0.766 0.750 1
Cu2 0.500 0.234 0.000 1
Cu3 0.000 0.766 0.250 1
Cu4 0.500 0.766 0.500 1
Cu5 0.500 0.766 0.000 1
Cu6 0.000 0.234 0.250 1
Cu7 0.000 0.234 0.750 1
Cu8 0.500 0.234 0.500 1
La1 0.000 0.500 0.500 1
La2 0.000 0.500 0.000 1
```


6.
Material: LaHoCu
Method: DFT, PBE-GGA
State: optimized geometry

Results
- VASP energy (eV/atom) = -4.50
- excess energy over the best structure of this formula in the dataset (meV/atom) = 143.2
- volume (A^3/atom) = 27.892

Cell and atoms, written as CIF:
```
data_LaHoCu
_cell_length_a 3.695
_cell_length_b 3.695
_cell_length_c 7.078
_cell_angle_alpha 90.00
_cell_angle_beta 90.00
_cell_angle_gamma 120.00
_symmetry_space_group_name_H-M 'P 1'
_symmetry_Int_Tables_number 1
_symmetry_space_group_name_Hall 'P 1'
loop_
_atom_site_label
_atom_site_fract_x
_atom_site_fract_y
_atom_site_fract_z
_atom_site_occupancy
La1 0.000 0.000 0.041 1
Ho1 0.333 0.667 0.613 1
Cu1 0.667 0.333 0.346 1
```


7.
Material: LaHo2Cu
Method: DFT, PBE-GGA
State: optimized geometry

Results
- VASP energy (eV/atom) = -4.51
- excess energy over the best structure of this formula in the dataset (meV/atom) = 129.6
- volume (A^3/atom) = 28.743

Cell and atoms, written as CIF:
```
data_LaHo2Cu
_cell_length_a 3.661
_cell_length_b 3.661
_cell_length_c 10.130
_cell_angle_alpha 79.59
_cell_angle_beta 79.59
_cell_angle_gamma 60.00
_symmetry_space_group_name_H-M 'P 1'
_symmetry_Int_Tables_number 1
_symmetry_space_group_name_Hall 'P 1'
loop_
_atom_site_label
_atom_site_fract_x
_atom_site_fract_y
_atom_site_fract_z
_atom_site_occupancy
Ho1 0.269 0.269 0.194 1
Ho2 0.731 0.731 0.806 1
Cu1 0.000 0.000 0.000 1
La1 0.500 0.500 0.500 1
```


8.
Material: LaHoMgCu
Method: DFT, PBE-GGA
State: optimized geometry

Results
- VASP energy (eV/atom) = -3.84
- volume (A^3/atom) = 25.715

Cell and atoms, written as CIF:
```
data_LaHoMgCu
_cell_length_a 5.259
_cell_length_b 5.259
_cell_length_c 5.259
_cell_angle_alpha 60.00
_cell_angle_beta 60.00
_cell_angle_gamma 60.00
_symmetry_space_group_name_H-M 'P 1'
_symmetry_Int_Tables_number 1
_symmetry_space_group_name_Hall 'P 1'
loop_
_atom_site_label
_atom_site_fract_x
_atom_site_fract_y
_atom_site_fract_z
_atom_site_occupancy
Mg1 0.750 0.750 0.750 1
Cu1 0.250 0.250 0.250 1
Ho1 0.000 0.000 0.000 1
La1 0.500 0.500 0.500 1
```


9.
Material: La2HoCu12Ni3
Method: DFT, PBE-GGA
State: optimized geometry

Results
- VASP energy (eV/atom) = -4.26
- volume (A^3/atom) = 17.351

Cell and atoms, written as CIF:
```
data_La2HoCu12Ni3
_cell_length_a 9.630
_cell_length_b 9.630
_cell_length_c 9.630
_cell_angle_alpha 38.60
_cell_angle_beta 38.60
_cell_angle_gamma 38.60
_symmetry_space_group_name_H-M 'P 1'
_symmetry_Int_Tables_number 1
_symmetry_space_group_name_Hall 'P 1'
loop_
_atom_site_label
_atom_site_fract_x
_atom_site_fract_y
_atom_site_fract_z
_atom_site_occupancy
Cu1 0.413 0.413 0.795 1
Cu2 0.205 0.587 0.587 1
Cu3 0.876 0.876 0.466 1
Cu4 0.124 0.124 0.534 1
Cu5 0.876 0.466 0.876 1
Cu6 0.413 0.795 0.413 1
Cu7 0.795 0.413 0.413 1
Cu8 0.466 0.876 0.876 1
Cu9 0.587 0.587 0.205 1
Cu10 0.124 0.534 0.124 1
Cu11 0.534 0.124 0.124 1
Cu12 0.587 0.205 0.587 1
Ni1 0.000 0.500 0.000 1
Ni2 0.000 0.000 0.500 1
Ni3 0.500 0.000 0.000 1
Ho1 0.000 0.000 0.000 1
La1 0.362 0.362 0.362 1
La2 0.638 0.638 0.638 1
```


10.
Material: LaHoCuPd
Method: DFT, PBE-GGA
State: optimized geometry

Results
- VASP energy (eV/atom) = -5.23
- excess energy over the best structure of this formula in the dataset (meV/atom) = 0.0
- volume (A^3/atom) = 23.780

Cell and atoms, written as CIF:
```
data_LaHoCuPd
_cell_length_a 3.861
_cell_length_b 4.609
_cell_length_c 5.682
_cell_angle_alpha 90.00
_cell_angle_beta 109.86
_cell_angle_gamma 90.00
_symmetry_space_group_name_H-M 'P 1'
_symmetry_Int_Tables_number 1
_symmetry_space_group_name_Hall 'P 1'
loop_
_atom_site_label
_atom_site_fract_x
_atom_site_fract_y
_atom_site_fract_z
_atom_site_occupancy
Cu1 0.579 0.500 0.158 1
Ho1 0.135 0.000 0.270 1
La1 0.859 0.500 0.718 1
Pd1 0.427 0.000 0.853 1
```


11.
Material: LaHoCuPd
Method: DFT, PBE-GGA
State: optimized geometry

Results
- VASP energy (eV/atom) = -5.20
- excess energy over the best structure of this formula in the dataset (meV/atom) = 39.7
- volume (A^3/atom) = 23.006

Cell and atoms, written as CIF:
```
data_LaHoCuPd
_cell_length_a 5.068
_cell_length_b 5.068
_cell_length_c 5.068
_cell_angle_alpha 60.00
_cell_angle_beta 60.00
_cell_angle_gamma 60.00
_symmetry_space_group_name_H-M 'P 1'
_symmetry_Int_Tables_number 1
_symmetry_space_group_name_Hall 'P 1'
loop_
_atom_site_label
_atom_site_fract_x
_atom_site_fract_y
_atom_site_fract_z
_atom_site_occupancy
Pd1 0.750 0.750 0.750 1
Ho1 0.000 0.000 0.000 1
Cu1 0.250 0.250 0.250 1
La1 0.500 0.500 0.500 1
```


12.
Material: LaHoCuRh
Method: DFT, PBE-GGA
State: optimized geometry

Results
- VASP energy (eV/atom) = -5.77
- excess energy over the best structure of this formula in the dataset (meV/atom) = 0.0
- volume (A^3/atom) = 22.765

Cell and atoms, written as CIF:
```
data_LaHoCuRh
_cell_length_a 3.848
_cell_length_b 4.566
_cell_length_c 5.528
_cell_angle_alpha 90.00
_cell_angle_beta 110.37
_cell_angle_gamma 90.00
_symmetry_space_group_name_H-M 'P 1'
_symmetry_Int_Tables_number 1
_symmetry_space_group_name_Hall 'P 1'
loop_
_atom_site_label
_atom_site_fract_x
_atom_site_fract_y
_atom_site_fract_z
_atom_site_occupancy
Ho1 0.867 0.500 0.734 1
La1 0.147 0.000 0.293 1
Cu1 0.573 0.500 0.146 1
Rh1 0.413 0.000 0.827 1
```


Calculated values (states/eV/cell) of N(E_F) for the records, taken in order: 7.5, 23.4, 10.2, 4.8, 10.3, 3.5, 6.2, 4.6, 11.5, 3.5, 2.2, 2.8.
Calculated values (meV per atom) of ΔE_f for the records, taken in order: -230.8, -45.3, -151.7, -239.8, -219.5, 38.6, 30.0, -41.1, 238.3, -536.2, -496.5, -527.3.